Entry 1:
{"formula": "SmAlAg4", "functional": "PBE", "state": "optimized geometry", "formation_enthalpy_0k_ev_per_fu": -0.88, "final_energy_ev_per_cell": -20.75, "lattice": [[5.5713, 0.0000, 0.0000], [2.7857, 4.8249, 0.0000], [2.7857, 1.6083, 4.5490]], "species": ["Ag", "Ag", "Al", "Ag", "Ag", "Sm"], "frac_coords": [[0.6254, 0.6254, 0.6254], [0.1239, 0.6254, 0.6254], [0.0000, 0.0000, 0.0000], [0.6254, 0.1239, 0.6254], [0.6254, 0.6254, 0.1239], [0.2500, 0.2500, 0.2500]]}

Entry 2:
{"formula": "Sm2AlAg", "functional": "PBE", "state": "optimized geometry", "formation_enthalpy_0k_ev_per_fu": -1.32, "final_energy_ev_per_cell": -17.35, "lattice": [[3.6197, 0.0000, 0.0000], [0.0000, 3.6197, 0.0000], [0.0000, 0.0000, 7.7168]], "species": ["Ag", "Al", "Sm", "Sm"], "frac_coords": [[0.5000, 0.5000, 0.5000], [0.5000, 0.5000, 0.0000], [0.0000, 0.0000, 0.7529], [0.0000, 0.0000, 0.2471]]}

Entry 3:
{"formula": "SmAlAg4", "functional": "PBE", "state": "optimized geometry", "formation_enthalpy_0k_ev_per_fu": -0.50, "final_energy_ev_per_cell": -40.73, "lattice": [[5.2841, 0.0077, -0.0078], [-0.0063, 4.8589, -0.0957], [-2.6500, -2.2627, 9.5111]], "species": ["Ag", "Ag", "Ag", "Al", "Ag", "Al", "Ag", "Ag", "Sm", "Ag", "Sm", "Ag"], "frac_coords": [[0.9936, 0.9263, 0.3513], [0.7866, 0.3537, 0.2060], [0.3575, 0.4258, 0.3509], [0.5000, 0.0000, 0.5000], [0.2134, 0.6463, 0.7940], [0.0000, 0.5000, 0.5000], [0.5811, 0.1471, 0.7944], [0.4189, 0.8529, 0.2056], [0.7700, 0.7503, 0.0005], [0.0064, 0.0737, 0.6487], [0.2300, 0.2497, 0.9995], [0.6425, 0.5742, 0.6491]]}

Entry 4:
{"formula": "SmAl3Ag10", "functional": "PBE", "state": "optimized geometry", "formation_enthalpy_0k_ev_per_fu": 0.41, "final_energy_ev_per_cell": -88.10, "lattice": [[8.0115, 0.0000, 4.6254], [2.6705, 7.5533, 4.6254], [0.0000, 0.0000, 9.2509]], "species": ["Ag", "Ag", "Ag", "Ag", "Al", "Al", "Sm", "Ag", "Al", "Ag", "Ag", "Al", "Ag", "Sm", "Ag", "Ag", "Ag", "Ag", "Ag", "Ag", "Ag", "Ag", "Ag", "Ag", "Ag", "Al", "Ag", "Al"], "frac_coords": [[0.3470, 0.0000, 0.6530], [0.0000, 0.6530, 0.3470], [0.6530, 0.0000, 0.3470], [0.0000, 0.0000, 0.6530], [0.2623, 0.7377, 0.2623], [0.7377, 0.2623, 0.2623], [0.2500, 0.2500, 0.2500], [0.3838, 0.3838, 0.8486], [0.2623, 0.2623, 0.7377], [0.6162, 0.6162, 0.1514], [0.3838, 0.3838, 0.3838], [0.7377, 0.7377, 0.2623], [0.3838, 0.8486, 0.3838], [0.7500, 0.7500, 0.7500], [0.1514, 0.6162, 0.6162], [0.6162, 0.1514, 0.6162], [0.0000, 0.0000, 0.3470], [0.0000, 0.3470, 0.6530], [0.8486, 0.3838, 0.3838], [0.6530, 0.0000, 0.0000], [0.0000, 0.3470, 0.0000], [0.3470, 0.6530, 0.0000], [0.0000, 0.6530, 0.0000], [0.3470, 0.0000, 0.0000], [0.6162, 0.6162, 0.6162], [0.7377, 0.2623, 0.7377], [0.6530, 0.3470, 0.0000], [0.2623, 0.7377, 0.7377]]}

Entry 5:
{"formula": "Sm3AlAg", "functional": "PBE", "state": "optimized geometry", "formation_enthalpy_0k_ev_per_fu": -0.57, "final_energy_ev_per_cell": -85.29, "lattice": [[8.1821, 0.6999, -1.4319], [4.6171, 6.7911, -1.4319], [1.9697, 1.1528, 10.3067]], "species": ["Sm", "Al", "Sm", "Ag", "Sm", "Ag", "Al", "Al", "Al", "Sm", "Ag", "Sm", "Sm", "Sm", "Sm", "Sm", "Ag", "Sm", "Sm", "Sm"], "frac_coords": [[0.3622, 0.3923, 0.3378], [0.6276, 0.1075, 0.5861], [0.2450, 0.8485, 0.9230], [0.1484, 0.8516, 0.2500], [0.8485, 0.2450, 0.4230], [0.5000, 0.0000, 0.0000], [0.8925, 0.3724, 0.9139], [0.1075, 0.6276, 0.0861], [0.3724, 0.8925, 0.4139], [0.6077, 0.6378, 0.1622], [0.0000, 0.5000, 0.5000], [0.7550, 0.1515, 0.0770], [0.1515, 0.7550, 0.5770], [0.8551, 0.7677, 0.8295], [0.2323, 0.1449, 0.6705], [0.1449, 0.2323, 0.1705], [0.8516, 0.1484, 0.7500], [0.3923, 0.3622, 0.8378], [0.6378, 0.6077, 0.6622], [0.7677, 0.8551, 0.3295]]}

Entry 6:
{"formula": "SmAl2Ag3", "functional": "PBE", "state": "optimized geometry", "formation_enthalpy_0k_ev_per_fu": -1.34, "final_energy_ev_per_cell": -44.21, "lattice": [[4.3111, 0.0000, 0.0000], [-2.1556, 8.2719, 0.1203], [0.0000, -3.6241, 6.8569]], "species": ["Al", "Ag", "Al", "Al", "Al", "Ag", "Ag", "Ag", "Ag", "Ag", "Sm", "Sm"], "frac_coords": [[0.1987, 0.3974, 0.6992], [0.3154, 0.6308, 0.5544], [0.5178, 0.0355, 0.1743], [0.8013, 0.6026, 0.3008], [0.4822, 0.9645, 0.8257], [0.9617, 0.9235, 0.6277], [0.0383, 0.0765, 0.3723], [0.3935, 0.7870, 0.2935], [0.6065, 0.2130, 0.7065], [0.6846, 0.3692, 0.4456], [0.8542, 0.7084, 0.9299], [0.1458, 0.2916, 0.0701]]}

Entry 7:
{"formula": "Sm2Al5Ag4", "functional": "PBE", "state": "optimized geometry", "formation_enthalpy_0k_ev_per_fu": -3.35, "final_energy_ev_per_cell": -42.91, "lattice": [[5.4781, 0.0000, 0.0000], [2.7390, 6.3276, -0.9785], [2.7390, 0.7509, 6.3589]], "species": ["Al", "Ag", "Al", "Al", "Al", "Ag", "Ag", "Sm", "Sm", "Ag", "Al"], "frac_coords": [[0.7534, 0.2296, 0.7704], [0.7461, 0.9175, 0.5903], [0.2466, 0.2296, 0.7704], [0.7534, 0.7704, 0.2296], [0.2466, 0.7704, 0.2296], [0.2539, 0.4097, 0.0825], [0.7461, 0.5903, 0.9175], [0.7224, 0.2776, 0.2776], [0.2776, 0.7224, 0.7224], [0.2539, 0.0825, 0.4097], [0.0000, 0.5000, 0.5000]]}

Entry 8:
{"formula": "Sm4AlAg", "functional": "PBE", "state": "optimized geometry", "formation_enthalpy_0k_ev_per_fu": -0.02, "final_energy_ev_per_cell": -50.98, "lattice": [[-3.6630, 3.5026, -1.6002], [0.1832, -2.5313, -5.9598], [-6.1787, -8.8612, 3.5738]], "species": ["Ag", "Sm", "Ag", "Al", "Sm", "Sm", "Sm", "Sm", "Sm", "Sm", "Al", "Sm"], "frac_coords": [[0.5712, 0.8515, 0.1423], [0.4370, 0.8601, 0.8740], [0.4288, 0.3515, 0.8577], [0.8402, 0.8130, 0.6803], [0.6934, 0.0678, 0.3869], [0.2847, 0.0491, 0.5695], [0.5630, 0.3601, 0.1260], [0.1226, 0.7918, 0.2452], [0.7153, 0.5491, 0.4305], [0.8774, 0.2918, 0.7548], [0.1598, 0.3130, 0.3197], [0.3066, 0.5678, 0.6131]]}

Entry 9:
{"formula": "Sm3Al2Ag4", "functional": "PBE", "state": "optimized geometry", "formation_enthalpy_0k_ev_per_fu": -2.99, "final_energy_ev_per_cell": -36.04, "lattice": [[4.6981, 0.0000, 0.0000], [-2.3490, 5.4353, -0.5456], [0.0000, -3.0549, 8.3801]], "species": ["Sm", "Ag", "Ag", "Ag", "Sm", "Al", "Al", "Sm", "Ag"], "frac_coords": [[0.6520, 0.3039, 0.6801], [0.0851, 0.1701, 0.4092], [0.7138, 0.4276, 0.0612], [0.9149, 0.8299, 0.5908], [0.0000, 0.0000, 0.0000], [0.6374, 0.2748, 0.3072], [0.3626, 0.7252, 0.6928], [0.3480, 0.6961, 0.3199], [0.2862, 0.5724, 0.9388]]}

Entry 10:
{"formula": "Sm3AlAg3", "functional": "PBE", "state": "optimized geometry", "formation_enthalpy_0k_ev_per_fu": -1.91, "final_energy_ev_per_cell": -56.73, "lattice": [[-1.5066, -3.1406, -2.3730], [2.7585, -5.0472, 1.1853], [-10.6668, -5.1093, 9.7913]], "species": ["Ag", "Sm", "Ag", "Al", "Sm", "Al", "Ag", "Ag", "Sm", "Ag", "Sm", "Ag", "Sm", "Sm"], "frac_coords": [[0.1493, 0.2343, 0.4670], [0.5170, 0.3505, 0.6154], [0.0286, 0.1753, 0.7675], [0.7683, 0.0796, 0.3838], [0.7458, 0.7419, 0.7665], [0.2317, 0.9204, 0.6162], [0.9714, 0.8247, 0.2325], [0.1134, 0.8502, 0.9230], [0.2542, 0.2581, 0.2335], [0.8507, 0.7657, 0.5330], [0.4830, 0.6495, 0.3846], [0.8866, 0.1498, 0.0770], [0.3970, 0.2852, 0.9208], [0.6030, 0.7148, 0.0792]]}

Entry 11:
{"formula": "SmAl4Ag2", "functional": "PBE", "state": "optimized geometry", "formation_enthalpy_0k_ev_per_fu": -1.34, "final_energy_ev_per_cell": -26.73, "lattice": [[-2.2331, -3.5533, 2.9979], [2.6253, -1.1931, 5.0494], [-3.2117, 1.9555, 4.4358]], "species": ["Ag", "Al", "Al", "Sm", "Ag", "Al", "Al"], "frac_coords": [[0.8146, 0.4400, 0.4400], [0.3298, 0.3907, 0.9855], [0.6702, 0.0144, 0.6093], [0.0000, 0.0000, 0.0000], [0.1854, 0.5600, 0.5600], [0.6702, 0.6093, 0.0145], [0.3298, 0.9856, 0.3907]]}

Entry 12:
{"formula": "SmAl2Ag6", "functional": "PBE", "state": "optimized geometry", "formation_enthalpy_0k_ev_per_fu": 2.22, "final_energy_ev_per_cell": -54.19, "lattice": [[8.3962, 0.0000, 0.0000], [4.1981, 7.2713, 0.0000], [4.1981, 2.4238, 6.8554]], "species": ["Al", "Al", "Al", "Ag", "Ag", "Ag", "Ag", "Ag", "Ag", "Ag", "Al", "Sm", "Ag", "Ag", "Ag", "Ag", "Ag", "Sm"], "frac_coords": [[0.1250, 0.6250, 0.1250], [0.6250, 0.1250, 0.1250], [0.1250, 0.1250, 0.1250], [0.2483, 0.7517, 0.2483], [0.0017, 0.0017, 0.4983], [0.7517, 0.2483, 0.7517], [0.2483, 0.2483, 0.7517], [0.7517, 0.2483, 0.2483], [0.4983, 0.4983, 0.0017], [0.7517, 0.7517, 0.2483], [0.1250, 0.1250, 0.6250], [0.5000, 0.5000, 0.5000], [0.4983, 0.0017, 0.4983], [0.0017, 0.4983, 0.4983], [0.0017, 0.4983, 0.0017], [0.4983, 0.0017, 0.0017], [0.2483, 0.7517, 0.7517], [0.7500, 0.7500, 0.7500]]}